Material: AgBSe2
Method: DFT, PBE
State: relaxed

Cell and atoms, written as extended XYZ:
```
8
Lattice="4.5700 0.0046 -0.0034 -2.2233 7.2611 0.0539 -2.3504 2.8360 6.6889" Properties=species:S:1:pos:R:3 pbc="T T T"
Ag 2.7611 2.2205 2.9167
B -0.0298 3.0518 4.8035
Se 2.8313 3.6291 0.6780
Se 0.4757 4.8827 4.2091
B -0.0296 5.0364 6.1280
Se -0.8438 3.2863 6.6015
Se -1.7422 8.6205 4.0139
Ag -1.8088 7.0942 6.1739
```

Computed properties:
The energy relative to the elements, uncorrected comes out at -0.051 eV/atom. The space-group type is Cm. Its density of states at the Fermi level is 0.000 states/eV per atom. The calculation puts the total energy at -33.4 eV for the cell shown.

=====

Material: AgBSe2
Method: DFT, PBE
State: relaxed

Cell and atoms, written as extended XYZ:
```
8
Lattice="5.1078 -1.4724 7.7542 -5.7190 4.7778 -5.7315 -3.8182 -2.0114 2.1332" Properties=species:S:1:pos:R:3 pbc="T T T"
Ag -3.0712 2.1954 -0.7112
Se 0.4439 -1.9416 7.1117
Ag -1.3582 -0.9013 4.8670
B 1.5872 -2.6016 8.5358
Se 3.6612 -1.6912 7.6746
Se -8.0906 2.9853 -3.5188
B -6.0166 3.8957 -4.3800
Se -4.8733 3.2357 -2.9558
```

Computed properties:
The energy relative to the elements, uncorrected comes out at 0.431 eV/atom. The space-group type is Cmcm. Its density of states at the Fermi level is 0.039 states/eV per atom. The calculation puts the total energy at -29.5 eV for the cell shown.

=====

Material: AgBSe2
Method: DFT, PBE
State: relaxed

Cell and atoms, written as extended XYZ:
```
8
Lattice="5.8040 0.0000 0.0000 0.0000 5.8040 0.0000 2.9020 2.9020 4.6432" Properties=species:S:1:pos:R:3 pbc="T T T"
B 2.9020 5.8040 2.3216
Ag 5.8040 2.9020 2.3216
Se 4.3530 4.8184 3.4824
Se 3.8875 1.4510 1.1608
Se 1.9165 4.3530 1.1608
Ag 0.0000 0.0000 0.0000
B 2.9020 2.9020 0.0000
Se 7.2550 6.7895 3.4824
```

Computed properties:
The energy relative to the elements, uncorrected comes out at -0.059 eV/atom. The space-group type is I-42d. Its density of states at the Fermi level is 0.000 states/eV per atom. The calculation puts the total energy at -33.5 eV for the cell shown.

=====

Material: SiAg2BSe
Method: DFT, PBE
State: relaxed

Cell and atoms, written as extended XYZ:
```
5
Lattice="-1.0633 -4.1495 -0.0152 2.7874 -0.7296 4.1552 -3.4121 0.8654 2.4409" Properties=species:S:1:pos:R:3 pbc="T T T"
Ag -1.7060 0.4327 1.2204
B 0.0000 0.0000 0.0000
Ag -0.5317 -2.0747 -0.0076
Se 1.3937 -0.3648 2.0776
Si -0.8440 -2.0068 3.2904
```

Computed properties:
The energy relative to the elements, uncorrected comes out at 0.868 eV/atom. The space-group type is P4/mmm. Its density of states at the Fermi level is 0.732 states/eV per atom. The calculation puts the total energy at -16.9 eV for the cell shown.